# Fe3Ag4

An optimized crystal structure of Fe3Ag4 (PBE, the Alexandria database).

Cell: 13.5713 13.5713 13.5713 Å, 167.97 167.97 17.04°
Last column: magnetic moment on the atom in μB.
Fractional positions:
Fe 0.7250 0.7250 0.0000  -2.64
Fe 0.0000 0.0000 0.0000  2.89
Fe 0.2750 0.2750 0.0000  -2.64
Ag 0.5714 0.5714 0.0000  0.01
Ag 0.1525 0.1525 0.0000  -0.03
Ag 0.4286 0.4286 0.0000  0.01
Ag 0.8475 0.8475 0.0000  -0.03

E: -4.964 eV/atom
DOS(E_F): 6.10 states/eV per cell